[1]
## Ac2TbSe2O2 (GGA-PBE)

Data for Ac2TbSe2O2 after structural relaxation.

extended XYZ file:
```
14
Lattice="4.450 0.000 0.000 0.000 4.450 0.000 0.000 0.000 16.194" Properties=species:S:1:pos:R:3 pbc="T T T"
Ac 0.000 0.000 2.079
Ac 0.000 0.000 14.115
Ac 2.225 2.225 6.018
Ac 2.225 2.225 10.176
Tb 0.000 0.000 8.097
Tb 2.225 2.225 0.000
Se 0.000 0.000 5.231
Se 0.000 0.000 10.963
Se 2.225 2.225 2.866
Se 2.225 2.225 13.328
O 0.000 2.225 0.000
O 0.000 2.225 8.097
O 2.225 0.000 0.000
O 2.225 0.000 8.097
```

Computed properties:
- Total magnetic moment: 0.00 μB per cell
- Total energy: -6.745 eV/atom
- E_form (uncorrected): -17.48 eV per formula unit
- Symmetry: I4/mmm

---

[2]
## AcTbSeO2 (GGA-PBE)

Data for AcTbSeO2 after structural relaxation.

extended XYZ file:
```
5
Lattice="4.207 0.000 0.000 0.000 4.207 0.000 0.000 0.000 6.524" Properties=species:S:1:pos:R:3 pbc="T T T"
Ac 0.000 0.000 0.000
Tb 2.104 2.104 2.234
Se 2.104 2.104 5.056
O 0.000 2.104 1.427
O 2.104 0.000 1.427
```

Computed properties:
- Total magnetic moment: 0.00 μB per cell
- Total energy: -7.503 eV/atom
- E_form (uncorrected): -15.38 eV per formula unit
- Symmetry: P4mm

---

[3]
## Ac3TcSe2O6 (GGA-PBE)

Data for Ac3TcSe2O6 after structural relaxation.

extended XYZ file:
```
12
Lattice="6.445 -3.540 0.000 6.445 3.540 0.000 -0.471 0.000 5.374" Properties=species:S:1:pos:R:3 pbc="T T T"
Ac 0.000 0.000 0.000
Ac 2.987 1.770 2.687
Ac 2.987 -1.770 2.687
Tc 6.209 0.000 2.687
Se 2.420 0.000 5.050
Se 9.998 0.000 0.324
O 5.455 1.455 3.768
O 6.963 1.455 1.606
O 4.503 0.000 1.850
O 7.915 0.000 3.524
O 5.455 -1.455 3.768
O 6.963 -1.455 1.606
```

Computed properties:
- Total magnetic moment: 0.00 μB per cell
- Total energy: -6.865 eV/atom
- E_form (uncorrected): -22.97 eV per formula unit
- Symmetry: C2/m

---

[4]
## AcTeSe2O8 (GGA-PBE)

Data for AcTeSe2O8 after structural relaxation.

extended XYZ file:
```
12
Lattice="6.488 -2.709 0.000 6.488 2.709 0.000 -2.091 0.000 5.409" Properties=species:S:1:pos:R:3 pbc="T T T"
Ac 0.000 0.000 0.000
Te 5.442 0.000 2.704
Se 1.183 0.000 3.755
Se 9.702 0.000 1.654
O 4.452 1.453 1.358
O 1.381 0.000 2.082
O 6.433 1.453 4.050
O 4.087 0.000 4.082
O 6.797 0.000 1.327
O 4.452 -1.453 1.358
O 9.504 0.000 3.326
O 6.433 -1.453 4.050
```

Computed properties:
- Total magnetic moment: 0.72 μB per cell
- Total energy: -5.790 eV/atom
- E_form (uncorrected): -15.59 eV per formula unit
- Symmetry: C2/m

---

[5]
## AcTeSe2O (GGA-PBE)

Data for AcTeSe2O after structural relaxation.

extended XYZ file:
```
10
Lattice="4.241 0.000 0.000 0.000 4.241 0.000 0.000 0.000 14.190" Properties=species:S:1:pos:R:3 pbc="T T T"
Ac 1.060 1.060 1.300
Ac 3.181 3.181 12.890
Te 1.060 1.060 8.756
Te 3.181 3.181 5.434
Se 1.060 1.060 5.591
Se 1.060 1.060 11.341
Se 3.181 3.181 2.848
Se 3.181 3.181 8.598
O 1.060 3.181 0.000
O 3.181 1.060 0.000
```

Computed properties:
- Total magnetic moment: 0.00 μB per cell
- Total energy: -5.398 eV/atom
- E_form (uncorrected): -7.81 eV per formula unit
- Symmetry: P4/nmm

---

[6]
## AcThSe2O (GGA-PBE)

Data for AcThSe2O after structural relaxation.

extended XYZ file:
```
10
Lattice="4.222 0.000 0.000 0.000 4.222 0.000 0.000 0.000 14.653" Properties=species:S:1:pos:R:3 pbc="T T T"
Ac 1.056 1.056 1.293
Ac 3.167 3.167 13.360
Th 1.056 1.056 8.904
Th 3.167 3.167 5.750
Se 1.056 1.056 5.750
Se 1.056 1.056 11.664
Se 3.167 3.167 2.989
Se 3.167 3.167 8.903
O 1.056 3.167 0.000
O 3.167 1.056 0.000
```

Computed properties:
- Total magnetic moment: 0.00 μB per cell
- Total energy: -7.042 eV/atom
- E_form (uncorrected): -11.76 eV per formula unit
- Symmetry: P4/nmm

---

[7]
## Ac2TlSeO6 (GGA-PBE)

Data for Ac2TlSeO6 after structural relaxation.

extended XYZ file:
```
10
Lattice="5.354 0.000 0.000 0.000 5.354 0.000 0.000 0.000 6.278" Properties=species:S:1:pos:R:3 pbc="T T T"
Ac 0.000 2.677 0.000
Ac 2.677 0.000 0.000
Tl 0.000 0.000 3.195
Se 2.677 2.677 3.930
O 0.000 0.000 0.742
O 1.422 1.422 4.542
O 1.422 3.932 4.542
O 2.677 2.677 0.639
O 3.932 1.422 4.542
O 3.932 3.932 4.542
```

Computed properties:
- Total magnetic moment: 0.00 μB per cell
- Total energy: -6.235 eV/atom
- E_form (uncorrected): -18.53 eV per formula unit
- Symmetry: P4mm

---

[8]
## AcTlSeO6 (GGA-PBE)

Data for AcTlSeO6 after structural relaxation.

extended XYZ file:
```
9
Lattice="5.475 0.000 0.000 -2.737 4.741 0.000 0.000 0.000 5.215" Properties=species:S:1:pos:R:3 pbc="T T T"
Ac 0.000 0.000 0.000
Tl 0.000 3.161 2.607
Se 2.737 1.580 2.607
O 2.013 0.275 3.690
O 1.244 1.606 1.525
O 3.462 0.275 1.525
O 1.969 2.861 3.690
O 4.231 1.606 3.690
O 3.506 2.861 1.525
```

Computed properties:
- Total magnetic moment: 0.00 μB per cell
- Total energy: -5.824 eV/atom
- E_form (uncorrected): -12.71 eV per formula unit
- Symmetry: P312

---

[9]
## AcTlSe2O6 (GGA-PBE)

Data for AcTlSe2O6 after structural relaxation.

extended XYZ file:
```
10
Lattice="2.953 1.705 6.660 -2.953 1.705 6.660 0.000 -3.409 6.660" Properties=species:S:1:pos:R:3 pbc="T T T"
Ac 0.000 0.000 0.000
Tl 0.000 0.000 9.990
Se 0.000 0.000 4.460
Se 0.000 0.000 15.520
O -1.556 0.228 5.177
O 0.580 -1.461 5.177
O -0.975 -1.233 14.803
O 0.975 1.233 5.177
O -0.580 1.461 14.803
O 1.556 -0.228 14.803
```

Computed properties:
- Total magnetic moment: 0.00 μB per cell
- Total energy: -5.881 eV/atom
- E_form (uncorrected): -15.62 eV per formula unit
- Symmetry: R-3

---

[10]
## AcTl2SeO6 (GGA-PBE)

Data for AcTl2SeO6 after structural relaxation.

extended XYZ file:
```
10
Lattice="6.053 0.000 0.000 -3.026 5.242 0.000 0.000 0.000 6.282" Properties=species:S:1:pos:R:3 pbc="T T T"
Ac 0.000 0.000 0.000
Tl 0.000 3.495 2.652
Tl 3.026 1.747 3.630
Se 0.000 0.000 3.141
O 0.000 1.490 4.235
O -1.736 4.497 4.235
O 1.290 0.745 2.047
O 1.736 4.497 4.235
O 4.763 0.745 2.047
O 3.026 3.752 2.047
```

Computed properties:
- Total magnetic moment: 0.00 μB per cell
- Total energy: -5.363 eV/atom
- E_form (uncorrected): -11.56 eV per formula unit
- Symmetry: P-3m1

---

[11]
## AcTl2SeO8 (GGA-PBE)

Data for AcTl2SeO8 after structural relaxation.

extended XYZ file:
```
12
Lattice="5.463 0.000 0.000 -2.732 4.731 0.000 0.000 0.000 6.569" Properties=species:S:1:pos:R:3 pbc="T T T"
Ac 0.000 0.000 0.000
Tl 0.000 3.154 2.627
Tl 2.732 1.577 3.942
Se 0.000 0.000 3.284
O 0.000 1.485 4.339
O -1.445 3.989 4.339
O 1.286 0.743 2.230
O 0.000 3.154 0.541
O 2.732 1.577 6.028
O 1.445 3.989 4.339
O 4.177 0.743 2.230
O 2.732 3.246 2.230
```

Computed properties:
- Total magnetic moment: 1.01 μB per cell
- Total energy: -5.268 eV/atom
- E_form (uncorrected): -11.23 eV per formula unit
- Symmetry: P-3m1

---

[12]
## Ac2TlSeO5 (GGA-PBE)

Data for Ac2TlSeO5 after structural relaxation.

extended XYZ file:
```
18
Lattice="7.296 0.000 0.000 0.000 7.296 0.000 0.000 0.000 6.048" Properties=species:S:1:pos:R:3 pbc="T T T"
Ac 1.314 2.335 0.000
Ac 2.335 5.983 0.000
Ac 4.962 1.314 0.000
Ac 5.983 4.962 0.000
Tl 0.000 0.000 3.024
Tl 3.648 3.648 3.024
Se 0.000 3.648 3.024
Se 3.648 0.000 3.024
O 0.000 0.000 0.000
O 0.955 4.604 1.509
O 0.955 4.604 4.539
O 2.693 0.955 1.509
O 2.693 0.955 4.539
O 3.648 3.648 0.000
O 4.604 6.341 1.509
O 4.604 6.341 4.539
O 6.341 2.693 1.509
O 6.341 2.693 4.539
```

Computed properties:
- Total magnetic moment: 2.07 μB per cell
- Total energy: -6.333 eV/atom
- E_form (uncorrected): -18.13 eV per formula unit
- Symmetry: P4/mbm

---

[13]
## Ac2TlSe2O2 (GGA-PBE)

Data for Ac2TlSe2O2 after structural relaxation.

extended XYZ file:
```
7
Lattice="4.324 0.000 0.000 -2.162 3.745 0.000 0.000 0.000 12.527" Properties=species:S:1:pos:R:3 pbc="T T T"
Ac 0.000 2.497 1.566
Ac 2.162 1.248 10.961
Tl 0.000 0.000 6.264
Se 0.000 0.000 3.580
Se 0.000 0.000 8.947
O 0.000 2.497 11.618
O 2.162 1.248 0.909
```

Computed properties:
- Total magnetic moment: 0.88 μB per cell
- Total energy: -5.942 eV/atom
- E_form (uncorrected): -14.13 eV per formula unit
- Symmetry: P-3m1

---

[14]
## AcTlSe2O8 (GGA-PBE)

Data for AcTlSe2O8 after structural relaxation.

extended XYZ file:
```
12
Lattice="4.685 -3.019 0.000 4.685 3.019 0.000 -0.109 0.000 8.916" Properties=species:S:1:pos:R:3 pbc="T T T"
Ac 0.000 0.000 0.000
Tl -0.054 0.000 4.458
Se 3.410 0.000 2.081
Se 5.851 0.000 6.835
O 4.376 1.369 1.883
O 2.341 0.000 0.778
O 2.683 0.000 3.553
O 4.884 1.369 7.033
O 4.376 -1.369 1.883
O 6.578 0.000 5.363
O 6.920 0.000 8.138
O 4.884 -1.369 7.033
```

Computed properties:
- Total magnetic moment: 0.00 μB per cell
- Total energy: -5.808 eV/atom
- E_form (uncorrected): -16.58 eV per formula unit
- Symmetry: C2/m

---

[15]
## Ac2TlSeO8 (GGA-PBE)

Data for Ac2TlSeO8 after structural relaxation.

extended XYZ file:
```
12
Lattice="5.359 0.000 0.000 -2.679 4.641 0.000 0.000 0.000 7.905" Properties=species:S:1:pos:R:3 pbc="T T T"
Ac 0.000 3.094 2.649
Ac 2.679 1.547 5.255
Tl 0.000 0.000 0.000
Se 0.000 0.000 3.952
O 0.000 1.483 4.991
O -1.395 3.899 4.991
O 1.284 0.741 2.913
O 0.000 3.094 0.139
O 2.679 1.547 7.766
O 1.395 3.899 4.991
O 4.075 0.741 2.913
O 2.679 3.158 2.913
```

Computed properties:
- Total magnetic moment: 3.02 μB per cell
- Total energy: -5.946 eV/atom
- E_form (uncorrected): -17.62 eV per formula unit
- Symmetry: P-3m1

---

[16]
## AcTmSeO6 (GGA-PBE)

Data for AcTmSeO6 after structural relaxation.

extended XYZ file:
```
9
Lattice="5.432 0.000 0.000 -2.716 4.705 0.000 0.000 0.000 5.224" Properties=species:S:1:pos:R:3 pbc="T T T"
Ac 0.000 0.000 0.000
Tm 0.000 3.136 2.612
Se 2.716 1.568 2.612
O 2.008 0.240 3.676
O 1.211 1.619 1.548
O 3.425 0.240 1.548
O 1.920 2.846 3.676
O 4.221 1.619 3.676
O 3.513 2.846 1.548
```

Computed properties:
- Total magnetic moment: 0.00 μB per cell
- Total energy: -6.893 eV/atom
- E_form (uncorrected): -20.22 eV per formula unit
- Symmetry: P312

---

[17]
## AcTmSeO2 (GGA-PBE)

Data for AcTmSeO2 after structural relaxation.

extended XYZ file:
```
10
Lattice="6.891 0.000 0.000 0.000 4.196 0.000 -2.776 0.000 7.423" Properties=species:S:1:pos:R:3 pbc="T T T"
Ac 0.165 1.049 3.237
Ac 3.950 3.147 4.186
Tm -1.475 1.049 6.889
Tm 5.590 3.147 0.535
Se 1.060 3.147 5.640
Se 3.055 1.049 1.784
O -0.946 3.147 2.688
O -2.318 3.147 6.671
O 6.433 1.049 0.753
O 5.061 1.049 4.735
```

Computed properties:
- Total magnetic moment: 0.00 μB per cell
- Total energy: -7.460 eV/atom
- E_form (uncorrected): -15.32 eV per formula unit
- Symmetry: P2_1/m

---

[18]
## AcTmSe2O8 (GGA-PBE)

Data for AcTmSe2O8 after structural relaxation.

extended XYZ file:
```
12
Lattice="5.856 0.000 0.000 -2.928 5.071 0.000 0.000 0.000 7.295" Properties=species:S:1:pos:R:3 pbc="T T T"
Ac 0.000 0.000 0.000
Tm 0.000 0.000 3.647
Se 0.000 3.381 5.514
Se 2.928 1.690 1.781
O -0.011 1.578 5.208
O -1.556 4.291 5.208
O 1.362 0.798 2.087
O 0.000 3.381 7.193
O 2.928 1.690 0.102
O 1.566 4.273 5.208
O 4.483 0.780 2.087
O 2.938 3.493 2.087
```

Computed properties:
- Total magnetic moment: 1.26 μB per cell
- Total energy: -6.357 eV/atom
- E_form (uncorrected): -21.07 eV per formula unit
- Symmetry: P-3

---

[19]
## AcTm2SeO8 (GGA-PBE)

Data for AcTm2SeO8 after structural relaxation.

extended XYZ file:
```
12
Lattice="4.893 0.000 0.000 0.000 7.068 0.000 -0.049 0.000 4.898" Properties=species:S:1:pos:R:3 pbc="T T T"
Ac 0.000 0.000 0.000
Tm 2.422 1.919 2.449
Tm 2.422 5.148 2.449
Se 0.000 3.534 0.000
O 0.883 2.209 0.897
O 0.883 4.859 0.897
O 1.273 3.534 3.594
O 1.605 0.000 3.268
O 3.239 0.000 1.630
O 3.572 3.534 1.304
O 3.962 2.209 4.000
O 3.962 4.859 4.000
```

Computed properties:
- Total magnetic moment: 0.65 μB per cell
- Total energy: -6.978 eV/atom
- E_form (uncorrected): -27.54 eV per formula unit
- Symmetry: P2/m

---

[20]
## AcUSeO2 (GGA-PBE)

Data for AcUSeO2 after structural relaxation.

extended XYZ file:
```
10
Lattice="3.982 0.000 0.000 0.000 3.982 0.000 0.000 0.000 12.864" Properties=species:S:1:pos:R:3 pbc="T T T"
Ac 0.000 0.000 0.000
Ac 1.991 1.991 6.432
U 0.000 0.000 9.086
U 1.991 1.991 2.654
Se 0.000 0.000 4.499
Se 1.991 1.991 10.931
O 0.000 1.991 1.473
O 0.000 1.991 7.905
O 1.991 0.000 1.473
O 1.991 0.000 7.905
```

Computed properties:
- Total magnetic moment: 6.00 μB per cell
- Total energy: -8.360 eV/atom
- E_form (uncorrected): -13.00 eV per formula unit
- Symmetry: I4mm

---

[21]
## Ac2USe4O2 (GGA-PBE)

Data for Ac2USe4O2 after structural relaxation.

extended XYZ file:
```
9
Lattice="5.587 -3.882 0.000 5.587 3.882 0.000 -0.935 0.000 5.137" Properties=species:S:1:pos:R:3 pbc="T T T"
Ac 1.683 0.000 1.631
Ac 8.557 0.000 3.506
U 5.587 0.000 0.000
Se 4.127 2.131 1.100
Se 6.113 2.131 4.037
Se 4.127 -2.131 1.100
Se 6.113 -2.131 4.037
O 3.445 0.000 3.686
O 6.795 0.000 1.451
```

Computed properties:
- Total magnetic moment: 0.10 μB per cell
- Total energy: -6.937 eV/atom
- E_form (uncorrected): -19.08 eV per formula unit
- Symmetry: C2/m